# 1
The following is a DFT calculation (PBE-GGA) of an optimized crystal structure of Sm2TiO5.

abc: 10.6774 3.8013 11.4760
angles: 90.00 90.00 90.00
Last column: nearest neighbours and their distance in Å.
Space group Pnma (No. 62)
Inequivalent atoms, fractional coordinates:
Sm (0.1096, 0.2500, 0.2219)  7 O 2.34-2.45
Sm (0.1368, 0.2500, 0.5555)  7 O 2.40-2.43
Ti (0.1792, 0.2500, 0.8777)  5 O 1.79-2.00
O (0.0078, 0.7500, 0.6043)  4 Sm 2.36-2.41
O (0.0161, 0.2500, 0.8432)  1 Ti 1.79
O (0.2231, 0.2500, 0.0384)  1 Ti 1.90
O (0.2365, 0.7500, 0.8803)  2 Ti 2.00
O (0.2373, 0.7500, 0.2293)  1 Ti 1.92

Results
Uncorrected formation energy: -27.09 eV per formula unit
E_tot: -276.87 eV per cell
D(E_F): 0.0 states/eV per cell
Polymorph energy (0 for the lowest one): 0.0 kJ per mole of atoms


# 2
The following is a DFT calculation (PBE-GGA) of an optimized crystal structure of Sm2TiO5.

abc: 7.6998 3.6934 15.9076
angles: 90.00 90.00 90.00
Last column: nearest neighbours and their distance in Å.
Space group Pnma (No. 62)
Inequivalent atoms, fractional coordinates:
Sm (0.1080, 0.2500, 0.2364)  6 O 2.31-2.40
Sm (0.1531, 0.2500, 0.5727)  6 O 2.32-2.42
Ti (0.1572, 0.2500, 0.9129)  5 O 1.81-2.01
O (0.0738, 0.7500, 0.1454)  1 Ti 2.01
O (0.1202, 0.7500, 0.6694)  4 Sm 2.31-2.42
O (0.1239, 0.7500, 0.9490)  2 Ti 1.95
O (0.1388, 0.7500, 0.4845)  1 Ti 1.94
O (0.2217, 0.7500, 0.3155)  1 Ti 1.81

Results
Uncorrected formation energy: -26.63 eV per formula unit
E_tot: -275.00 eV per cell
D(E_F): 0.0 states/eV per cell
Polymorph energy (0 for the lowest one): 5.7 kJ per mole of atoms


# 3
The following is a DFT calculation (PBE-GGA) of an optimized crystal structure of SmTi2O5.

abc: 3.6138 11.9200 4.9842
angles: 90.00 90.00 90.00
Last column: nearest neighbours and their distance in Å.
Space group Pmmn (No. 59, origin choice 2)
Inequivalent atoms, fractional coordinates:
Sm (0.2500, 0.2500, 0.1185)  8 O 2.37-2.52
Ti (0.2500, 0.5939, 0.4227)  3 O 1.78-1.97
O (0.2500, 0.0807, 0.4223)  3 Ti 1.97-2.08
O (0.2500, 0.6339, 0.0790)  1 Ti 1.78
O (0.2500, 0.7500, 0.5740)  2 Ti 2.01

Results
Uncorrected formation energy: -25.08 eV per formula unit
E_tot: -140.76 eV per cell
D(E_F): 4.8 states/eV per cell


# 4
The following is a DFT calculation (PBE-GGA) of an optimized crystal structure of SmTiO.

abc: 11.2629 3.2355 5.6003
angles: 90.00 90.00 90.00
Last column: nearest neighbours and their distance in Å.
Space group Amm2 (No. 38)
Inequivalent atoms, fractional coordinates:
Sm (0.1461, 0.0000, 0.0000)  3 O 2.49
Ti (0.3918, 0.0000, 0.6649)  3 O 2.23, 1 Ti 2.44
O (0.0000, 0.0000, 0.6667)  6 Sm 2.49
O (0.5000, 0.0000, 0.9982)  6 Ti 2.23

Results
Uncorrected formation energy: -3.99 eV per formula unit
E_tot: -86.24 eV per cell
D(E_F): 9.7 states/eV per cell


# 5
The following is a DFT calculation (PBE-GGA) of an optimized crystal structure of SmTi2O4.

abc: 5.5966 5.8197 5.8237
angles: 76.78 61.39 61.47
Last column: nearest neighbours and their distance in Å.
Space group P-1 (No. 2)
Inequivalent atoms, fractional coordinates:
Sm (0.0000, 0.0000, 0.0000)  4 O 2.28
Ti (0.2510, 0.4986, 0.4994)  4 O 1.93
O (0.0008, 0.3141, 0.6824)  2 Ti 1.93
O (0.3153, 0.6824, 0.6859)  2 Ti 1.93

Results
Uncorrected formation energy: -18.26 eV per formula unit
E_tot: -58.60 eV per cell
D(E_F): 4.8 states/eV per cell


# 6
The following is a DFT calculation (PBE-GGA) of an optimized crystal structure of SmTi2Tl2O7.

abc: 5.5052 5.4475 11.1255
angles: 90.00 98.93 90.00
Last column: nearest neighbours and their distance in Å.
Space group C2/m (No. 12)
Inequivalent atoms, fractional coordinates:
Sm (0.0000, 0.0000, 0.0000)  12 O 2.60-2.75
Ti (0.0702, 0.5000, 0.1827)  6 O 1.90-2.01
Tl (0.1743, 0.0000, 0.3892)  1 O 2.44
O (0.0000, 0.5000, 0.0000)  2 Ti 2.01
O (0.1039, 0.5000, 0.3589)  1 Ti 1.94
O (0.2031, 0.2526, 0.8396)  2 Ti 1.90-2.01

Results
Uncorrected formation energy: -28.43 eV per formula unit
E_tot: -176.76 eV per cell
D(E_F): 4.6 states/eV per cell